The following is a DFT calculation (PBE with a Hubbard U) of an optimized crystal structure of AcVPbO4.

Computed properties:
N(E_F) ... 0.2 states/eV per cell
Electronic total energy ... -99.64 eV/cell

Lattice parameters (Å, degrees): 6.4031 5.6912 8.2802 90.00 109.67 90.00
Space group P2_1/m (No. 11)
Asymmetric unit:
Ac: 0.2097 0.2500 0.4468 [2 per cell]
V: 0.3549 0.7500 0.6985 [2 per cell]
Pb: 0.0514 0.2500 0.9281 [2 per cell]
O: 0.1651 0.5060 0.6844 [4 per cell]
O: 0.3514 0.2500 0.1807 [2 per cell]
O: 0.3746 0.7500 0.4813 [2 per cell]